(1)
# KNb2AgPd

An optimized crystal structure of KNb2AgPd (GGA-PBEsol, Alexandria via LeMat-Bulk). Values from VASP.

Properties
E_form in eV/atom: 1.661
Magnetization in μB/cell: 4.09

Cell and atoms, written as Quantum ESPRESSO input:
```
&SYSTEM
  ibrav = 0, nat = 5, ntyp = 4
/
ATOMIC_SPECIES
K 39.10 K.upf
Nb 92.91 Nb.upf
Ag 107.87 Ag.upf
Pd 106.42 Pd.upf
ATOMIC_POSITIONS angstrom
K 0.000 0.000 0.000
Nb 0.000 2.510 2.549
Nb 2.510 0.000 2.549
Ag 2.510 2.510 2.549
Pd 2.510 2.510 0.000
CELL_PARAMETERS angstrom
5.020 0.000 0.000
0.000 5.020 0.000
0.000 0.000 5.097
```

(2)
# SrZnTc

An optimized crystal structure of SrZnTc (GGA-PBEsol, Alexandria via LeMat-Bulk). Values from VASP.

Properties
E_form in eV/atom: 0.675
Magnetization in μB/cell: 0.00

Cell and atoms, written as Quantum ESPRESSO input:
```
&SYSTEM
  ibrav = 0, nat = 3, ntyp = 3
/
ATOMIC_SPECIES
Sr 87.62 Sr.upf
Zn 65.41 Zn.upf
Tc 98.00 Tc.upf
ATOMIC_POSITIONS angstrom
Sr 0.000 0.000 0.000
Zn 2.434 1.405 1.412
Tc 0.000 2.810 1.412
CELL_PARAMETERS angstrom
4.868 0.000 0.000
-2.434 4.216 0.000
0.000 0.000 2.824
```

(3)
# Li3La

An optimized crystal structure of Li3La (GGA-PBEsol, Alexandria via LeMat-Bulk). Values from VASP.

Properties
E_form in eV/atom: 0.082
Magnetization in μB/cell: 0.00

Cell and atoms, written as Quantum ESPRESSO input:
```
&SYSTEM
  ibrav = 0, nat = 8, ntyp = 2
/
ATOMIC_SPECIES
Li 6.94 Li.upf
La 138.91 La.upf
ATOMIC_POSITIONS angstrom
Li 2.379 1.270 2.566
Li 5.297 4.142 2.566
Li 2.379 -1.270 0.855
Li 8.214 1.270 2.566
Li 5.297 -4.142 0.855
Li 8.214 -1.270 0.855
La 5.297 1.313 0.855
La 5.297 -1.313 2.566
CELL_PARAMETERS angstrom
5.297 -5.245 0.000
5.297 5.245 0.000
0.000 0.000 3.422
```

(4)
# Tl2ZnSb

An optimized crystal structure of Tl2ZnSb (GGA-PBEsol, Alexandria via LeMat-Bulk). Values from VASP.

Properties
Formation energy without anion corrections in eV/atom: 0.09
Magnetization in μB/cell: 0.00

Cell and atoms, written as Quantum ESPRESSO input:
```
&SYSTEM
  ibrav = 0, nat = 4, ntyp = 3
/
ATOMIC_SPECIES
Tl 204.38 Tl.upf
Zn 65.41 Zn.upf
Sb 121.76 Sb.upf
ATOMIC_POSITIONS angstrom
Tl 0.000 0.000 0.000
Tl 1.676 1.919 2.361
Zn 0.000 0.000 4.217
Sb 1.676 1.919 5.606
CELL_PARAMETERS angstrom
3.352 0.000 0.000
0.000 3.838 0.000
0.000 0.000 7.830
```

(5)
# ZrZnAs2Se

An optimized crystal structure of ZrZnAs2Se (GGA-PBEsol, Alexandria via LeMat-Bulk). Values from VASP.

Properties
Formation energy without anion corrections in eV/atom: 0.22
Magnetization in μB/cell: 0.00

Cell and atoms, written as Quantum ESPRESSO input:
```
&SYSTEM
  ibrav = 0, nat = 5, ntyp = 4
/
ATOMIC_SPECIES
Zr 91.22 Zr.upf
Zn 65.41 Zn.upf
As 74.92 As.upf
Se 78.96 Se.upf
ATOMIC_POSITIONS angstrom
Zr 0.000 0.000 0.000
Zn 2.579 2.579 2.530
As 0.000 2.579 0.000
As 2.579 0.000 0.000
Se 0.000 0.000 2.530
CELL_PARAMETERS angstrom
5.159 0.000 0.000
0.000 5.159 0.000
0.000 0.000 5.061
```

(6)
# AlCr3Rh

An optimized crystal structure of AlCr3Rh (GGA-PBEsol, Alexandria via LeMat-Bulk). Values from VASP.

Properties
E_form in eV/atom: 1.712
Magnetization in μB/cell: 3.59

Cell and atoms, written as Quantum ESPRESSO input:
```
&SYSTEM
  ibrav = 0, nat = 5, ntyp = 3
/
ATOMIC_SPECIES
Al 26.98 Al.upf
Cr 52.00 Cr.upf
Rh 102.91 Rh.upf
ATOMIC_POSITIONS angstrom
Al 0.000 0.000 0.000
Cr 0.000 0.000 2.105
Cr 0.000 2.105 0.000
Cr 2.105 0.000 0.000
Rh 2.105 2.105 2.105
CELL_PARAMETERS angstrom
4.209 0.000 0.000
0.000 4.209 0.000
0.000 0.000 4.209
```